The following is a DFT calculation (PBE-GGA) of a relaxed Ce2SmReN5 crystal.

- Total DFT energy (no corrections): -8.901 eV per atom
- ΔE_f (raw): -1.049 eV/atom
- Total moment: 0.000 μB/cell
- N(E_F): 8.7 states/eV/f.u.

Unit cell a=6.646 b=6.646 c=11.586 alpha=90.00 beta=90.00 gamma=90.00
Space group I4/mcm (No. 140)
Asymmetric unit:
Ce1 0.174 0.326 0.000
Sm1 0.000 0.000 0.250
Re1 0.000 0.500 0.250
N1 0.000 0.000 0.000
N2 0.152 0.348 0.356

The following is a DFT calculation (PBE-GGA) of a relaxed Nd3HoTl crystal.

- Total DFT energy (no corrections): -4.378 eV per atom
- Total moment: 0.000 μB/cell
- N(E_F): 6.0 states/eV/f.u.
- Energy of formation from the pure elements: -128.3 meV per atom

Unit cell a=4.911 b=25.898 c=4.919 alpha=90.00 beta=90.00 gamma=90.00
Space group Cmcm (No. 63)
Asymmetric unit:
Nd1 0.000 0.053 0.250
Nd2 0.000 0.251 0.250
Nd3 0.000 0.445 0.250
Ho1 0.000 0.349 0.750
Tl1 0.000 0.153 0.750

The following is a DFT calculation (PBE-GGA) of a relaxed NaTlH2 crystal.

- Total DFT energy (no corrections): -2.457 eV per atom
- Excess energy over the best structure of this formula in the dataset: 0.000 eV per atom
- Total moment: 0.000 μB/cell

Unit cell a=3.4921 b=3.4921 c=19.0417 alpha=90.00 beta=90.00 gamma=120.00
Space group R3m (No. 160, hexagonal axes)
Asymmetric unit:
Na1 0.0000 0.0000 0.0000
Tl1 0.0000 0.0000 0.8296
H1 0.0000 0.0000 0.4036
H2 0.0000 0.0000 0.5929

The following is a DFT calculation (PBE-GGA) of a relaxed Sm2EuZr crystal.

- Total DFT energy (no corrections): -6.853 eV per atom
- Total moment: 6.942 μB/cell
- N(E_F): 5.7 states/eV/f.u.
- Energy of formation from the pure elements: 212.6 meV per atom

Unit cell a=5.019 b=5.019 c=4.914 alpha=90.00 beta=90.00 gamma=90.00
Space group P4/mmm (No. 123)
Asymmetric unit:
Sm1 0.000 0.500 0.000
Eu1 0.000 0.000 0.500
Zr1 0.500 0.500 0.500

The following is a DFT calculation (PBE-GGA) of a relaxed LaMgAg2Ir crystal.

- Total DFT energy (no corrections): -3.264 eV per atom
- Total moment: 0.000 μB/cell
- N(E_F): 3.2 states/eV/f.u.
- Energy of formation from the pure elements: 953.3 meV per atom

Unit cell a=5.621 b=5.621 c=4.997 alpha=90.00 beta=90.00 gamma=90.00
Space group P4/mmm (No. 123)
Asymmetric unit:
La1 0.000 0.000 0.000
Mg1 0.500 0.500 0.500
Ag1 0.000 0.500 0.000
Ir1 0.000 0.000 0.500

The following is a DFT calculation (PBE-GGA) of a relaxed RbNa crystal.

- Total DFT energy (no corrections): -1.105 eV per atom
- Total moment: 0.000 μB/cell
- N(E_F): 1.3 states/eV/f.u.
- Energy of formation from the pure elements: 37.8 meV per atom

Unit cell a=7.117 b=4.828 c=7.164 alpha=90.00 beta=94.80 gamma=90.00
Space group P2/m (No. 10)
Asymmetric unit:
Rb1 0.227 0.000 0.277
Na1 0.287 0.500 0.795